Entry 1:
A relaxed AlNi2Mo crystal. Source: the Alexandria database, functional PBE-GGA.

Unit cell a=2.6808 b=2.6808 c=25.0462 alpha=90.00 beta=90.00 gamma=120.00
Space group R-3m (No. 166, hexagonal axes)
Asymmetric unit:
Al1 0.0000 0.0000 0.0000 (multiplicity 3)
Ni1 0.0000 0.0000 0.2544 (multiplicity 6)
Mo1 0.0000 0.0000 0.5000 (multiplicity 3)

* density: 7.7 g/cm3
* energy relative to the elements: -0.114 eV/atom
* total energy: -6.6477 eV per atom



Entry 2:
A relaxed Al3NiMo12 crystal. Source: the Alexandria database, functional PBE-GGA.

Unit cell a=4.947 b=4.951 c=9.975 alpha=90.00 beta=90.00 gamma=90.00
Space group Pmmm (No. 47)
Asymmetric unit:
Al1 0.000 0.000 0.000 (multiplicity 1)
Al2 0.500 0.500 0.251 (multiplicity 2)
Ni1 0.000 0.000 0.500 (multiplicity 1)
Mo1 0.000 0.500 0.125 (multiplicity 2)
Mo2 0.000 0.500 0.376 (multiplicity 2)
Mo3 0.250 0.000 0.253 (multiplicity 4)
Mo4 0.500 0.249 0.000 (multiplicity 2)
Mo5 0.500 0.251 0.500 (multiplicity 2)

* density: 8.8 g/cm3
* energy relative to the elements: -0.168 eV/atom
* total energy: -9.3543 eV per atom



Entry 3:
A relaxed AlNi2Mo crystal. Source: the Alexandria database, functional PBE-GGA.

Unit cell a=6.219 b=6.232 c=2.676 alpha=90.00 beta=90.00 gamma=90.00
Space group Cmmm (No. 65)
Asymmetric unit:
Al1 0.000 0.000 0.000 (multiplicity 2)
Ni1 0.250 0.250 0.500 (multiplicity 4)
Mo1 0.000 0.500 0.000 (multiplicity 2)

* density: 7.7 g/cm3
* energy relative to the elements: -0.176 eV/atom
* total energy: -6.7100 eV per atom



Entry 4:
A relaxed AlNi3Mo crystal. Source: the Alexandria database, functional PBE-GGA.

Unit cell a=4.200 b=4.200 c=4.200 alpha=90.00 beta=90.00 gamma=90.00
Space group Pm-3m (No. 221)
Asymmetric unit:
Al1 0.000 0.000 0.000 (multiplicity 1)
Ni1 0.000 0.000 0.500 (multiplicity 3)
Mo1 0.500 0.500 0.500 (multiplicity 1)

* density: 6.7 g/cm3
* E above lowest polymorph: 0 meV/atom
* energy relative to the elements: 0.911 eV/atom
* total energy: -5.4727 eV per atom



Entry 5:
A relaxed AlNi2Mo crystal. Source: the Alexandria database, functional PBE-GGA.

Unit cell a=5.906 b=5.906 c=5.906 alpha=90.00 beta=90.00 gamma=90.00
Space group F-43m (No. 216)
Asymmetric unit:
Al1 0.000 0.000 0.000 (multiplicity 4)
Ni1 0.000 0.000 0.500 (multiplicity 4)
Ni2 0.250 0.250 0.250 (multiplicity 4)
Mo1 0.250 0.250 0.750 (multiplicity 4)

* density: 7.7 g/cm3
* energy relative to the elements: -0.109 eV/atom
* total energy: -6.6433 eV per atom



Entry 6:
A relaxed Al2NiMoRh crystal. Source: the Alexandria database, functional PBE-GGA.

Unit cell a=4.290 b=4.290 c=4.574 alpha=90.00 beta=90.00 gamma=90.00
Space group P4/mmm (No. 123)
Asymmetric unit:
Al1 0.000 0.500 0.000 (multiplicity 2)
Ni1 0.000 0.000 0.000 (multiplicity 1)
Mo1 0.500 0.500 0.500 (multiplicity 1)
Rh1 0.000 0.000 0.500 (multiplicity 1)

* density: 6.1 g/cm3
* energy relative to the elements: 0.595 eV/atom
* total energy: -5.6950 eV per atom